Entry 1:
This record from the Alexandria database describes crystalline LuZrGa2 at its relaxed geometry. The functional is PBE.

The structure belongs to space group P4/mmm (No. 123); the cell edges are 3.546, 3.546 and 6.448 Å and the angles 90.00°, 90.00° and 90.00°. The distinct sites, in fractional coordinates, are Lu at (0.000, 0.000, 0.000), Zr at (0.000, 0.000, 0.500) and Ga at (0.500, 0.500, 0.265).

The energy above the most stable polymorph in this dataset comes out at 2 meV per atom. As for the energy of formation: -0.475 eV per atom.

---

Entry 2:
This record from the Alexandria database describes crystalline LuZrGa2 at its relaxed geometry. The functional is PBE.

The structure belongs to space group R-3m (No. 166, hexagonal axes); the cell edges are 3.4659, 3.4659 and 25.1525 Å and the angles 90.00°, 90.00° and 120.00°. The distinct sites, in fractional coordinates, are Lu at (0.0000, 0.0000, 0.0000), Zr at (0.0000, 0.0000, 0.5000) and Ga at (0.0000, 0.0000, 0.2476).

The energy above the most stable polymorph in this dataset comes out at 119 meV per atom. As for the energy of formation: -0.358 eV per atom.

---

Entry 3:
This record from the Alexandria database describes crystalline LuZrGa4 at its relaxed geometry. The functional is PBE.

The structure belongs to space group F-43m (No. 216); the cell edges are 7.573, 7.573 and 7.573 Å and the angles 90.00°, 90.00° and 90.00°. The distinct sites, in fractional coordinates, are Lu at (0.000, 0.000, 0.000), Zr at (0.250, 0.250, 0.250) and Ga at (0.125, 0.125, 0.625).

As for the energy of formation: -0.482 eV per atom.

---

Entry 4:
This record from the Alexandria database describes crystalline LuZrGa at its relaxed geometry. The functional is PBE.

The structure belongs to space group I4mm (No. 107); the cell edges are 3.306, 3.306 and 12.235 Å and the angles 90.00°, 90.00° and 90.00°. The distinct sites, in fractional coordinates, are Lu at (0.000, 0.000, 0.000), Zr at (0.000, 0.000, 0.311) and Ga at (0.000, 0.000, 0.662).

The energy above the most stable polymorph in this dataset comes out at 0 meV per atom. As for the energy of formation: -0.343 eV per atom.

---

Entry 5:
This record from the Alexandria database describes crystalline LuZrGa at its relaxed geometry. The functional is PBE.

The structure belongs to space group P3m1 (No. 156); the cell edges are 4.7924, 4.7924 and 3.4544 Å and the angles 90.00°, 90.00° and 120.00°. The distinct sites, in fractional coordinates, are Lu at (0.0000, 0.0000, 0.0000), Zr at (0.3333, 0.6667, 0.5281) and Ga at (0.6667, 0.3333, 0.3726).

The energy above the most stable polymorph in this dataset comes out at 158 meV per atom. As for the energy of formation: -0.186 eV per atom.

---

Entry 6:
This record from the Alexandria database describes crystalline LuZrGa2 at its relaxed geometry. The functional is PBE.

The structure belongs to space group Fm-3m (No. 225); the cell edges are 6.865, 6.865 and 6.865 Å and the angles 90.00°, 90.00° and 90.00°. The distinct sites, in fractional coordinates, are Lu at (0.000, 0.000, 0.000), Zr at (0.000, 0.000, 0.500) and Ga at (0.250, 0.250, 0.250).

The energy above the most stable polymorph in this dataset comes out at 38 meV per atom. As for the energy of formation: -0.439 eV per atom.

---

Entry 7:
This record from the Alexandria database describes crystalline Mg6Ga at its relaxed geometry. The functional is PBE.

The structure belongs to space group Im-3m (No. 229); the cell edges are 8.098, 8.098 and 8.098 Å and the angles 90.00°, 90.00° and 90.00°. The distinct sites, in fractional coordinates, are Mg at (0.000, 0.250, 0.500) and Ga at (0.000, 0.000, 0.000).

As for the energy of formation: 0.799 eV per atom.

---

Entry 8:
This record from the Alexandria database describes crystalline Mg7Ga5 at its relaxed geometry. The functional is PBE.

The structure belongs to space group C2/m (No. 12); the cell edges are 14.980, 3.261 and 11.861 Å and the angles 90.00°, 122.88° and 90.00°. The distinct sites, in fractional coordinates, are Mg at (0.000, 0.000, 0.000), Mg at (0.062, 0.500, 0.262), Mg at (0.123, 0.000, 0.755), Mg at (0.177, 0.000, 0.533), Ga at (0.000, 0.500, 0.500), Ga at (0.164, 0.500, 0.989) and Ga at (0.207, 0.000, 0.224).

As for the energy of formation: -0.087 eV per atom.